# Pm2InBi4 (PBE, optimized geometry)
# * magnetic moment: 0.00 μB/cell
# * calculated total energy: -4.420 eV/atom
# * crystal system: tetragonal
# * E_form: -0.45 eV per atom
data_Pm2InBi4
_chemical_formula_sum 'Pm2 In1 Bi4'
_cell_length_a 6.752
_cell_length_b 6.752
_cell_length_c 6.752
_cell_angle_alpha 116.54
_cell_angle_beta 116.54
_cell_angle_gamma 96.10
_space_group_name_H-M_alt 'P 1'
_space_group_IT_number 1
_space_group_name_Hall 'P 1'
loop_
_atom_site_label
_atom_site_type_symbol
_atom_site_fract_x
_atom_site_fract_y
_atom_site_fract_z
Pm1 Pm 0.000 0.500 0.500
Pm2 Pm 0.500 0.000 0.500
In1 In 0.000 0.000 0.000
Bi1 Bi 0.000 0.000 0.500
Bi2 Bi 0.000 0.500 0.000
Bi3 Bi 0.500 0.000 0.000
Bi4 Bi 0.500 0.500 0.500

---

# Pm7In2Bi2 (PBE, optimized geometry)
# * magnetic moment: 0.00 μB/cell
# * calculated total energy: -4.410 eV/atom
# * crystal system: orthorhombic
# * E_form: -0.18 eV per atom
data_Pm7In2Bi2
_chemical_formula_sum 'Pm7 In2 Bi2'
_cell_length_a 7.454
_cell_length_b 7.454
_cell_length_c 7.172
_cell_angle_alpha 90.00
_cell_angle_beta 90.00
_cell_angle_gamma 100.74
_space_group_name_H-M_alt 'P 1'
_space_group_IT_number 1
_space_group_name_Hall 'P 1'
loop_
_atom_site_label
_atom_site_type_symbol
_atom_site_fract_x
_atom_site_fract_y
_atom_site_fract_z
Pm1 Pm 0.000 0.000 0.000
Pm2 Pm 0.000 0.500 0.274
Pm3 Pm 0.000 0.500 0.726
Pm4 Pm 0.500 0.000 0.274
Pm5 Pm 0.500 0.000 0.726
Pm6 Pm 0.500 0.500 0.256
Pm7 Pm 0.500 0.500 0.744
In1 In 0.274 0.726 0.000
In2 In 0.726 0.274 0.000
Bi1 Bi 0.191 0.191 0.500
Bi2 Bi 0.809 0.809 0.500

---

# PmIn6Bi (PBE, optimized geometry)
# * magnetic moment: 0.00 μB/cell
# * calculated total energy: -3.281 eV/atom
# * crystal system: orthorhombic
# * E_form: -0.15 eV per atom
data_PmIn6Bi
_chemical_formula_sum 'Pm1 In6 Bi1'
_cell_length_a 6.650
_cell_length_b 6.650
_cell_length_c 5.673
_cell_angle_alpha 90.00
_cell_angle_beta 90.00
_cell_angle_gamma 117.73
_space_group_name_H-M_alt 'P 1'
_space_group_IT_number 1
_space_group_name_Hall 'P 1'
loop_
_atom_site_label
_atom_site_type_symbol
_atom_site_fract_x
_atom_site_fract_y
_atom_site_fract_z
Pm1 Pm 0.000 0.000 0.000
In1 In 0.000 0.500 0.000
In2 In 0.225 0.775 0.500
In3 In 0.273 0.273 0.500
In4 In 0.500 0.000 0.000
In5 In 0.727 0.727 0.500
In6 In 0.775 0.225 0.500
Bi1 Bi 0.500 0.500 0.000